1.
VASP calculation (PBE) on Cs2NaHgF6 after structural relaxation.

The structure belongs to space group I4/m (No. 87); the cell edges are 6.2351, 6.2351 and 8.8285 Å and the angles 90.00°, 90.00° and 90.00°. The inequivalent atoms are Cs at (0.0000, 0.5000, 0.2500), Na at (0.0000, 0.0000, 0.0000), Hg at (0.0000, 0.0000, 0.5000), F at (0.0000, 0.0000, 0.2505) and F at (0.2454, 0.7492, 0.5000).

2.
VASP calculation (PBE) on RbAcPt after structural relaxation.

The structure belongs to space group F-43m (No. 216); the cell edges are 7.5283, 7.5283 and 7.5283 Å and the angles 90.00°, 90.00° and 90.00°. The inequivalent atoms are Rb at (0.0000, 0.0000, 0.0000), Ac at (0.0000, 0.0000, 0.5000) and Pt at (0.2500, 0.2500, 0.7500).

no.,E_tot (eV per atom)
1,-3.5834
2,-3.9356